1.
Entry from Alexandria: a relaxed structure of Pr3ErTm2 (GGA-PBE).

Unit cell a=3.554 b=6.850 c=17.635 alpha=79.72 beta=84.22 gamma=74.97
Element x y z (fractional)
1 Tm 0.195 0.443 0.167
2 Pr 0.736 0.866 0.661
3 Pr 0.628 0.735 0.010
4 Pr 0.069 0.032 0.830
5 Er 0.460 0.399 0.681
6 Pr 0.372 0.265 0.990
7 Tm 0.368 0.764 0.501
8 Pr 0.264 0.134 0.339
9 Tm 0.805 0.557 0.833
10 Tm 0.632 0.236 0.499
11 Pr 0.931 0.968 0.170
12 Er 0.540 0.601 0.319

Raw total energy, eV for the cell shown: -54.31
DFT formation energy, eV/atom: 0.115
SG: C2/m, No. 12

2.
Entry from Alexandria: a relaxed structure of Pr5ErTm (GGA-PBE).

Unit cell a=5.948 b=8.139 c=8.139 alpha=66.27 beta=68.57 gamma=68.57
Element x y z (fractional)
1 Pr 0.248 0.752 0.752
2 Tm 0.500 0.500 0.500
3 Er 0.000 0.000 0.000
4 Pr 0.752 0.248 0.248
5 Pr 0.000 0.324 0.676
6 Pr 0.000 0.676 0.324
7 Pr 0.500 0.000 0.000

Raw total energy, eV for the cell shown: -26.21
DFT formation energy, eV/atom: 0.960
SG: Immm, No. 71

3.
Entry from Alexandria: a relaxed structure of PrEr4Tm6 (GGA-PBE).

Unit cell a=7.663 b=7.663 c=8.368 alpha=117.25 beta=117.25 gamma=90.00
Element x y z (fractional)
1 Tm 0.060 0.060 0.629
2 Er 0.089 0.761 0.850
3 Tm 0.940 0.432 0.371
4 Tm 0.432 0.940 0.371
5 Er 0.761 0.089 0.850
6 Tm 0.500 0.000 0.000
7 Tm 0.568 0.568 0.629
8 Tm 0.000 0.500 0.000
9 Pr 0.500 0.500 0.000
10 Er 0.911 0.911 0.150
11 Er 0.239 0.239 0.150

Raw total energy, eV for the cell shown: -44.76
DFT formation energy, eV/atom: 0.464
SG: I-42m, No. 121

4.
Entry from Alexandria: a relaxed structure of Pr2Er9Tm (GGA-PBE).

Unit cell a=3.479 b=11.201 c=11.201 alpha=120.00 beta=90.00 gamma=90.00
Element x y z (fractional)
1 Tm 0.000 0.000 0.000
2 Er 0.000 0.000 0.500
3 Er 0.500 0.173 0.827
4 Er 0.500 0.827 0.173
5 Er 0.500 0.173 0.346
6 Er 0.500 0.827 0.654
7 Pr 0.000 0.667 0.333
8 Er 0.000 0.500 0.500
9 Er 0.500 0.346 0.173
10 Pr 0.000 0.333 0.667
11 Er 0.000 0.500 0.000
12 Er 0.500 0.654 0.827

Raw total energy, eV for the cell shown: -54.10
DFT formation energy, eV/atom: 0.083
SG: P6/mmm, No. 191

5.
Entry from Alexandria: a relaxed structure of Pr5ErTm2 (GGA-PBE).

Unit cell a=9.268 b=9.268 c=9.152 alpha=120.42 beta=120.42 gamma=90.00
Last column: magnetic moment on the atom in μB.
Element x y z (fractional)
1 Er 0.250 0.250 0.500  0.14
2 Tm 0.355 0.855 0.000  0.00
3 Tm 0.145 0.355 0.000  0.00
4 Pr 0.314 0.814 0.328  0.00
5 Pr 0.013 0.513 0.328  0.00
6 Pr 0.487 0.686 0.672  0.00
7 Tm 0.645 0.145 0.000  0.00
8 Pr 0.500 0.500 0.000  0.09
9 Pr 0.000 0.000 0.000  0.09
10 Pr 0.987 0.487 0.672  0.00
11 Pr 0.814 0.013 0.328  0.00
12 Er 0.750 0.750 0.500  0.14
13 Tm 0.855 0.645 0.000  0.00
14 Pr 0.186 0.987 0.672  0.00
15 Pr 0.686 0.186 0.672  0.00
16 Pr 0.513 0.314 0.328  0.00

Raw total energy, eV for the cell shown: -72.90
DFT formation energy, eV/atom: 0.119
SG: I4/mcm, No. 140

6.
Entry from Alexandria: a relaxed structure of PrEr12Tm2 (GGA-PBE).

Unit cell a=6.548 b=6.548 c=24.633 alpha=83.29 beta=96.71 gamma=65.32
Element x y z (fractional)
1 Pr 0.000 0.500 0.999
2 Er 0.943 0.057 0.924
3 Er 0.997 0.001 0.331
4 Er 0.316 0.184 0.424
5 Tm 0.047 0.453 0.728
6 Er 0.895 0.605 0.859
7 Er 0.401 0.596 0.203
8 Pr 0.500 0.000 0.001
9 Er 0.334 0.668 0.445
10 Er 0.596 0.401 0.797
11 Er 0.904 0.099 0.203
12 Er 0.499 0.503 0.331
13 Er 0.605 0.895 0.141
14 Er 0.057 0.943 0.076
15 Er 0.503 0.499 0.669
16 Er 0.001 0.997 0.669
17 Tm 0.453 0.047 0.272
18 Er 0.819 0.681 0.426
19 Er 0.099 0.904 0.797
20 Er 0.668 0.334 0.555
21 Er 0.832 0.166 0.445
22 Er 0.681 0.819 0.574
23 Er 0.557 0.443 0.076
24 Tm 0.955 0.545 0.272
25 Er 0.166 0.832 0.555
26 Er 0.443 0.557 0.924
27 Er 0.184 0.316 0.576
28 Tm 0.545 0.955 0.728
29 Er 0.104 0.396 0.139
30 Er 0.396 0.104 0.861

Raw total energy, eV for the cell shown: -133.50
DFT formation energy, eV/atom: 0.115
SG: C2/m, No. 12